Record 1
Density functional theory data (PBE-GGA) for a geometry-optimized La2Tc structure.

Cell and atoms, written as POSCAR:
```
La2Tc
1.0
7.645 0.000 0.000
0.000 5.245 0.000
0.000 0.000 8.222
La Tc
8 4
Cartesian
0.245 1.311 1.335
1.071 1.311 5.029
2.752 3.934 0.918
3.578 3.934 5.446
4.067 1.311 2.776
4.894 1.311 7.304
6.574 3.934 3.193
7.401 3.934 6.888
1.899 1.311 7.630
1.923 3.934 3.519
5.722 1.311 4.704
5.746 3.934 0.593
```

Properties
- Calculated formation energy: 0.03 eV per atom
- Energy above the lowest structure with this stoichiometry: 0 meV per atom
- Symmetry: Pnma, No. 62


Record 2
Density functional theory data (PBE-GGA) for a geometry-optimized KSrPuO4 structure.

Cell and atoms, written as POSCAR:
```
KSrPuO4
1.0
-2.180 2.180 6.391
2.180 -2.180 6.391
2.180 2.180 -6.391
K Sr Pu O
1 1 1 4
Cartesian
0.000 0.000 0.000
0.000 0.000 9.075
0.000 0.000 4.550
0.000 0.000 2.527
2.180 0.000 4.352
0.000 0.000 6.587
0.000 2.180 4.352
```

Properties
- E_form (uncorrected): -18.33 eV per formula unit
- Symmetry: I4mm, No. 107